[1]
This record from Alexandria via LeMat-Bulk describes a relaxed structure of BaThSn. The functional is PBE.

Cell and atoms, written as POSCAR:
```
BaThSn
1.0
4.886 0.000 0.000
0.000 4.886 0.000
0.000 0.000 9.495
Ba Th Sn
2 2 2
Cartesian
1.222 1.222 1.385
3.665 3.665 8.110
1.222 3.665 4.747
3.665 1.222 4.747
1.222 1.222 7.055
3.665 3.665 2.440
```

Results
Energy relative to the elements   -0.435 eV/atom
Raw total energy   -29.30 eV/cell



[2]
This record from Alexandria via LeMat-Bulk describes a relaxed structure of BaTi2Sn2. The functional is PBE.

Cell and atoms, written as POSCAR:
```
BaTi2Sn2
1.0
-2.302 2.302 6.536
2.302 -2.302 6.536
2.302 2.302 -6.536
Ba Ti Sn
1 2 2
Cartesian
0.000 0.000 0.000
2.302 0.000 3.268
0.000 2.302 3.268
0.000 0.000 4.904
0.000 0.000 8.169
```

Results
Energy above the lowest structure with this stoichiometry   0 meV/atom
Energy relative to the elements   -0.288 eV/atom
Raw total energy   -27.16 eV/cell



[3]
This record from Alexandria via LeMat-Bulk describes a relaxed structure of Ba3TiSn. The functional is PBE.

Cell and atoms, written as POSCAR:
```
Ba3TiSn
1.0
6.666 0.000 0.000
0.000 6.666 0.000
0.000 0.000 6.666
Ba Ti Sn
3 1 1
Cartesian
0.000 0.000 3.333
0.000 3.333 0.000
3.333 0.000 0.000
3.333 3.333 3.333
0.000 0.000 0.000
```

Results
Energy above the lowest structure with this stoichiometry   0 meV/atom
Energy relative to the elements   0.518 eV/atom
Raw total energy   -15.07 eV/cell



[4]
This record from Alexandria via LeMat-Bulk describes a relaxed structure of BaTiSn3. The functional is PBE.

Cell and atoms, written as POSCAR:
```
BaTiSn3
1.0
5.360 0.000 0.000
0.000 5.360 0.000
0.000 0.000 5.360
Ba Ti Sn
1 1 3
Cartesian
0.000 0.000 0.000
2.680 2.680 2.680
0.000 2.680 2.680
2.680 0.000 2.680
2.680 2.680 0.000
```

Results
Energy above the lowest structure with this stoichiometry   0 meV/atom
Energy relative to the elements   -0.367 eV/atom
Raw total energy   -23.66 eV/cell



[5]
This record from Alexandria via LeMat-Bulk describes a relaxed structure of BaTiSn3. The functional is PBE.

Cell and atoms, written as POSCAR:
```
BaTiSn3
1.0
5.975 0.000 0.000
0.000 5.975 0.000
0.000 0.000 5.975
Ba Ti Sn
1 1 3
Cartesian
0.000 0.000 0.000
2.987 2.987 2.987
0.000 0.000 2.987
0.000 2.987 0.000
2.987 0.000 0.000
```

Results
Energy above the lowest structure with this stoichiometry   1863 meV/atom
Energy relative to the elements   1.496 eV/atom
Raw total energy   -14.35 eV/cell



[6]
This record from Alexandria via LeMat-Bulk describes a relaxed structure of BaTi2Sn2. The functional is PBE.

Cell and atoms, written as POSCAR:
```
BaTi2Sn2
1.0
8.723 0.000 0.000
0.000 8.723 0.000
0.000 0.000 3.146
Ba Ti Sn
2 4 4
Cartesian
0.000 0.000 0.000
4.362 4.362 0.000
0.986 3.376 0.000
3.376 7.737 0.000
5.348 0.986 0.000
7.737 5.348 0.000
1.503 5.864 1.573
2.859 1.503 1.573
5.864 7.221 1.573
7.221 2.859 1.573
```

Results
Energy above the lowest structure with this stoichiometry   93 meV/atom
Energy relative to the elements   -0.195 eV/atom
Raw total energy   -53.39 eV/cell



[7]
This record from Alexandria via LeMat-Bulk describes a relaxed structure of BaTi2Sn. The functional is PBE.

Cell and atoms, written as POSCAR:
```
BaTi2Sn
1.0
-2.474 2.474 10.248
2.474 -2.474 10.248
2.474 2.474 -10.248
Ba Ti Sn
2 4 2
Cartesian
0.000 0.000 0.000
0.000 2.474 5.124
1.237 2.403 -2.562
2.545 1.237 2.562
1.237 0.071 7.686
-0.071 1.237 12.810
2.474 0.000 5.124
0.000 0.000 10.248
```

Results
Energy relative to the elements   0.376 eV/atom
Raw total energy   -40.42 eV/cell



[8]
This record from Alexandria via LeMat-Bulk describes a relaxed structure of BaTiV2Sn. The functional is PBE.

Cell and atoms, written as POSCAR:
```
BaTiV2Sn
1.0
5.052 0.000 0.000
0.000 5.052 0.000
0.000 0.000 5.869
Ba Ti V Sn
1 1 2 1
Cartesian
0.000 0.000 0.000
2.526 2.526 2.934
0.000 2.526 0.000
2.526 0.000 0.000
0.000 0.000 2.934
```

Results
Energy relative to the elements   2.231 eV/atom
Raw total energy   -20.91 eV/cell



[9]
This record from Alexandria via LeMat-Bulk describes a relaxed structure of Ba3Tl3Sn. The functional is PBE.

Cell and atoms, written as POSCAR:
```
Ba3Tl3Sn
1.0
6.673 -2.434 0.000
6.673 2.434 0.000
-5.474 0.000 16.942
Ba Tl Sn
6 6 2
Cartesian
-1.899 0.000 6.600
-3.608 0.000 15.657
1.859 0.000 3.972
6.014 0.000 12.970
11.481 0.000 1.285
9.772 0.000 10.342
2.042 0.000 7.839
0.188 0.000 15.606
2.301 0.000 13.025
5.572 0.000 3.917
7.685 0.000 1.337
5.831 0.000 9.103
0.360 0.000 10.552
7.513 0.000 6.391
```

Results
Energy relative to the elements   -0.437 eV/atom
Raw total energy   -39.85 eV/cell



[10]
This record from Alexandria via LeMat-Bulk describes a relaxed structure of BaTlSn2. The functional is PBE.

Cell and atoms, written as POSCAR:
```
BaTlSn2
1.0
2.641 1.525 5.900
-2.641 1.525 5.900
0.000 -3.050 5.900
Ba Tl Sn
1 1 2
Cartesian
0.000 0.000 0.000
0.000 0.000 8.849
0.000 0.000 3.719
0.000 0.000 13.979
```

Results
Energy above the lowest structure with this stoichiometry   98 meV/atom
Energy relative to the elements   -0.274 eV/atom
Raw total energy   -13.39 eV/cell



[11]
This record from Alexandria via LeMat-Bulk describes a relaxed structure of Ba6Tl2Sn. The functional is PBE.

Cell and atoms, written as POSCAR:
```
Ba6Tl2Sn
1.0
-5.608 6.010 6.302
5.608 -6.010 6.302
5.608 6.010 -6.302
Ba Tl Sn
12 4 2
Cartesian
5.608 3.777 -3.182
3.059 2.056 0.000
8.156 2.056 0.000
2.234 6.010 -1.970
3.374 0.000 4.332
0.000 2.233 3.120
5.608 3.777 3.182
2.234 6.010 1.970
3.374 0.000 8.272
-2.548 3.954 6.302
2.548 3.954 6.302
0.000 2.233 9.484
5.608 0.000 1.629
0.000 3.949 0.000
0.000 8.072 0.000
0.000 6.010 4.673
0.000 0.000 0.000
0.000 0.000 6.302
```

Results
Energy relative to the elements   -0.334 eV/atom
Raw total energy   -46.55 eV/cell



[12]
This record from Alexandria via LeMat-Bulk describes a relaxed structure of Ba6Tl5Sn. The functional is PBE.

Cell and atoms, written as POSCAR:
```
Ba6Tl5Sn
1.0
3.050 -9.211 0.000
3.050 9.211 0.000
0.000 0.000 8.469
Ba Tl Sn
6 5 1
Cartesian
0.000 0.000 2.045
0.000 0.000 6.423
3.050 2.995 2.107
3.050 2.995 6.362
3.050 -2.995 2.107
3.050 -2.995 6.362
3.050 6.090 4.234
3.050 5.946 0.000
3.050 0.000 4.234
3.050 -5.946 0.000
3.050 -6.090 4.234
3.050 0.000 0.000
```

Results
Energy relative to the elements   -0.436 eV/atom
Raw total energy   -32.60 eV/cell



[13]
This record from Alexandria via LeMat-Bulk describes a relaxed structure of BaTl7Sn5. The functional is PBE.

Cell and atoms, written as POSCAR:
```
BaTl7Sn5
1.0
6.467 -5.592 0.000
6.467 5.592 0.000
-3.132 0.000 5.688
Ba Tl Sn
1 7 5
Cartesian
0.000 0.000 0.000
5.020 3.269 2.934
0.678 0.000 4.209
3.452 0.000 2.054
6.636 1.647 0.097
6.293 0.000 3.716
6.636 -1.647 0.097
5.020 -3.269 2.934
1.798 2.909 2.969
3.394 2.894 0.104
1.798 -2.909 2.969
3.394 -2.894 0.104
9.389 0.000 1.698
```

Results
Energy relative to the elements   -0.077 eV/atom
Raw total energy   -39.50 eV/cell



[14]
This record from Alexandria via LeMat-Bulk describes a relaxed structure of BaTl3Sn. The functional is PBE.

Cell and atoms, written as POSCAR:
```
BaTl3Sn
1.0
6.302 0.000 0.000
0.000 6.302 0.000
0.000 0.000 6.302
Ba Tl Sn
1 3 1
Cartesian
0.000 0.000 0.000
0.000 0.000 3.151
0.000 3.151 0.000
3.151 0.000 0.000
3.151 3.151 3.151
```

Results
Energy above the lowest structure with this stoichiometry   951 meV/atom
Energy relative to the elements   0.709 eV/atom
Raw total energy   -9.48 eV/cell



[15]
This record from Alexandria via LeMat-Bulk describes a relaxed structure of BaTl3Sn. The functional is PBE.

Cell and atoms, written as POSCAR:
```
BaTl3Sn
1.0
5.881 0.000 0.000
0.000 5.881 0.000
0.000 0.000 5.881
Ba Tl Sn
1 3 1
Cartesian
0.000 0.000 0.000
0.000 2.941 2.941
2.941 0.000 2.941
2.941 2.941 0.000
2.941 2.941 2.941
```

Results
Energy above the lowest structure with this stoichiometry   261 meV/atom
Energy relative to the elements   0.019 eV/atom
Raw total energy   -12.93 eV/cell



[16]
This record from Alexandria via LeMat-Bulk describes a relaxed structure of Ba5TlSn2. The functional is PBE.

Cell and atoms, written as POSCAR:
```
Ba5TlSn2
1.0
-4.527 4.527 8.893
4.527 -4.527 8.893
4.527 4.527 -8.893
Ba Tl Sn
10 2 4
Cartesian
0.000 0.000 0.000
6.117 1.591 -2.503
1.591 2.936 -2.503
6.117 1.591 2.503
1.591 2.936 2.503
0.000 0.000 8.893
2.936 1.591 6.389
-1.591 2.936 6.389
2.936 1.591 11.396
-1.591 2.936 11.396
0.000 0.000 4.446
0.000 0.000 13.339
3.480 1.047 0.000
3.480 -1.047 8.893
1.047 5.574 0.000
1.047 3.480 8.893
```

Results
Energy relative to the elements   -0.508 eV/atom
Raw total energy   -48.10 eV/cell



[17]
This record from Alexandria via LeMat-Bulk describes a relaxed structure of Ba4Tl2Sn. The functional is PBE.

Cell and atoms, written as POSCAR:
```
Ba4Tl2Sn
1.0
3.022 1.745 9.826
-3.022 1.745 9.826
0.000 -3.490 9.826
Ba Tl Sn
4 2 1
Cartesian
0.000 0.000 3.606
0.000 0.000 11.027
0.000 0.000 18.452
0.000 0.000 25.874
0.000 0.000 7.382
0.000 0.000 22.097
0.000 0.000 0.000
```

Results
Energy above the lowest structure with this stoichiometry   27 meV/atom
Energy relative to the elements   -0.357 eV/atom
Raw total energy   -18.93 eV/cell



[18]
This record from Alexandria via LeMat-Bulk describes a relaxed structure of BaTl2Sn. The functional is PBE.

Cell and atoms, written as POSCAR:
```
BaTl2Sn
1.0
4.124 0.000 0.000
0.000 4.124 0.000
0.000 0.000 7.775
Ba Tl Sn
1 2 1
Cartesian
0.000 0.000 0.000
2.062 2.062 2.285
2.062 2.062 5.490
0.000 0.000 3.887
```

Results
Energy above the lowest structure with this stoichiometry   86 meV/atom
Energy relative to the elements   -0.250 eV/atom
Raw total energy   -11.66 eV/cell



[19]
This record from Alexandria via LeMat-Bulk describes a relaxed structure of Ba4Tl2Sn. The functional is PBE.

Cell and atoms, written as POSCAR:
```
Ba4Tl2Sn
1.0
9.392 0.000 0.000
-2.778 8.986 0.000
-4.371 -3.703 7.462
Ba Tl Sn
8 4 2
Cartesian
0.000 0.000 0.000
-2.338 -0.766 3.516
-4.021 4.183 4.787
-4.089 0.425 7.372
0.152 3.599 4.004
1.756 -1.322 5.219
3.541 1.199 2.583
4.187 5.094 0.408
-2.083 5.991 1.952
1.291 6.590 2.389
-1.621 4.898 7.441
6.985 2.385 1.804
-1.378 -1.844 6.708
2.661 2.118 5.950
```

Results
Energy above the lowest structure with this stoichiometry   0 meV/atom
Energy relative to the elements   -0.384 eV/atom
Raw total energy   -38.23 eV/cell



[20]
This record from Alexandria via LeMat-Bulk describes a relaxed structure of Ba2Tl3Sn2. The functional is PBE.

Cell and atoms, written as POSCAR:
```
Ba2Tl3Sn2
1.0
6.189 -2.554 0.000
6.189 2.554 0.000
-1.096 0.000 7.866
Ba Tl Sn
2 3 2
Cartesian
1.146 0.000 2.481
10.137 0.000 5.384
1.397 0.000 6.802
6.189 0.000 0.000
9.885 0.000 1.064
4.663 0.000 2.875
6.619 0.000 4.991
```

Results
Energy above the lowest structure with this stoichiometry   7 meV/atom
Energy relative to the elements   -0.383 eV/atom
Raw total energy   -21.63 eV/cell



[21]
This record from Alexandria via LeMat-Bulk describes a relaxed structure of BaTl2Sn. The functional is PBE.

Cell and atoms, written as POSCAR:
```
BaTl2Sn
1.0
9.193 0.000 0.000
0.000 8.811 0.000
0.000 0.000 6.783
Ba Tl Sn
4 8 4
Cartesian
0.356 2.203 0.841
4.240 6.608 4.232
4.953 2.203 2.551
8.837 6.608 5.943
1.804 0.438 4.158
1.804 3.967 4.158
2.793 4.844 0.767
2.793 8.373 0.767
6.400 0.438 6.017
6.400 3.967 6.017
7.389 4.844 2.625
7.389 8.373 2.625
0.766 6.608 2.534
3.830 2.203 5.926
5.363 6.608 0.857
8.427 2.203 4.249
```

Results
Energy above the lowest structure with this stoichiometry   7 meV/atom
Energy relative to the elements   -0.330 eV/atom
Raw total energy   -47.91 eV/cell



[22]
This record from Alexandria via LeMat-Bulk describes a relaxed structure of BaTl11Sn. The functional is PBE.

Cell and atoms, written as POSCAR:
```
BaTl11Sn
1.0
3.252 -8.068 0.000
3.252 8.068 0.000
-3.114 0.000 8.053
Ba Tl Sn
1 11 1
Cartesian
0.000 0.000 0.000
-1.557 0.000 4.026
1.626 4.034 0.000
0.086 2.856 2.902
0.117 1.695 6.333
0.086 -2.856 2.902
1.626 -4.034 0.000
0.117 -1.695 6.333
3.273 1.695 1.720
3.304 2.856 5.151
3.273 -1.695 1.720
3.304 -2.856 5.151
1.695 0.000 4.026
```

Results
Energy relative to the elements   -0.062 eV/atom
Raw total energy   -32.77 eV/cell



[23]
This record from Alexandria via LeMat-Bulk describes a relaxed structure of BaTl2Sn2. The functional is PBE.

Cell and atoms, written as POSCAR:
```
BaTl2Sn2
1.0
-2.536 2.536 6.727
2.536 -2.536 6.727
2.536 2.536 -6.727
Ba Tl Sn
1 2 2
Cartesian
0.000 0.000 0.000
2.536 0.000 3.363
0.000 2.536 3.363
0.000 0.000 5.268
0.000 0.000 8.186
```

Results
Energy above the lowest structure with this stoichiometry   0 meV/atom
Energy relative to the elements   -0.268 eV/atom
Raw total energy   -16.00 eV/cell



[24]
This record from Alexandria via LeMat-Bulk describes a relaxed structure of Ba2TlSn5. The functional is PBE.

Cell and atoms, written as POSCAR:
```
Ba2TlSn5
1.0
-3.425 3.425 5.679
3.425 -3.425 5.679
3.425 3.425 -5.679
Ba Tl Sn
2 1 5
Cartesian
3.425 0.000 0.000
0.000 3.425 0.000
0.000 0.000 0.966
0.000 0.000 4.496
1.888 1.888 2.831
1.537 -1.537 8.510
-1.537 1.537 8.510
1.537 1.537 8.510
```

Results
Energy relative to the elements   -0.390 eV/atom
Raw total energy   -29.34 eV/cell